Record 1
Th2Tc5Ge4 after structural relaxation. Source: Alexandria via LeMat-Bulk, functional GGA-PBE.

## Properties
DOS at the Fermi energy (states/eV/f.u.): 12.3
E_tot (eV for the cell shown): -88.1
Energy of formation from the pure elements (meV per atom): -274
Crystal system: orthorhombic

Geometry as POSCAR:
```
Th2Tc5Ge4
1.0
5.5029 0.0000 0.0000
2.7515 6.0279 -1.4955
2.7515 0.3073 6.2040
Ge Tc Th
4 5 2
Direct
0.7417 0.9127 0.6040
0.2583 0.0873 0.3960
0.2584 0.3957 0.0874
0.7416 0.6043 0.9126
0.0000 0.5000 0.5000
0.7515 0.2427 0.7574
0.7515 0.7573 0.2426
0.2485 0.7573 0.2426
0.2485 0.2427 0.7574
0.7453 0.2547 0.2547
0.2547 0.7453 0.7453
```

Record 2
ThTc4Ge4 after structural relaxation. Source: Alexandria via LeMat-Bulk, functional GGA-PBE.

## Properties
DOS at the Fermi energy (states/eV/f.u.): 5.1
E_tot (eV for the cell shown): -138.5
Energy of formation from the pure elements (meV per atom): -213
Crystal system: tetragonal

Geometry as POSCAR:
```
ThTc4Ge4
1.0
6.2354 0.0000 0.0000
0.0000 6.2354 0.0000
0.0000 0.0000 8.1437
Tc Ge Th
8 8 2
Direct
0.5000 0.2550 0.1302
0.7450 0.5000 0.8698
0.0000 0.2450 0.3698
0.2450 0.0000 0.6302
0.0000 0.7550 0.3698
0.7550 0.0000 0.6302
0.2550 0.5000 0.8698
0.5000 0.7450 0.1302
0.0000 0.3019 0.6724
0.5000 0.1981 0.8276
0.3019 0.0000 0.3276
0.6981 0.0000 0.3276
0.0000 0.6981 0.6724
0.1981 0.5000 0.1724
0.8019 0.5000 0.1724
0.5000 0.8019 0.8276
0.5000 0.5000 0.5000
0.0000 0.0000 0.0000
```

Record 3
ThTcGe4 after structural relaxation. Source: Alexandria via LeMat-Bulk, functional GGA-PBE.

## Properties
DOS at the Fermi energy (states/eV/f.u.): 2.9
E_tot (eV for the cell shown): -74.9
Energy of formation from the pure elements (meV per atom): -201
Crystal system: triclinic

Geometry as POSCAR:
```
ThTcGe4
1.0
-4.4831 2.8798 -0.4648
-0.7143 -4.1085 -6.5136
-2.6072 -3.0399 4.9642
Th Ge Tc
2 8 2
Direct
0.8219 0.7374 0.0731
0.1781 0.2626 0.9269
0.6167 0.3566 0.6462
0.3833 0.6434 0.3538
0.9654 0.1471 0.3945
0.6893 0.3755 0.1723
0.3383 0.9763 0.1323
0.0346 0.8529 0.6055
0.6617 0.0237 0.8677
0.3107 0.6245 0.8277
0.0000 0.5000 0.5000
0.5000 0.0000 0.5000
```

Record 4
ThTcGe3 after structural relaxation. Source: Alexandria via LeMat-Bulk, functional GGA-PBE.

## Properties
DOS at the Fermi energy (states/eV/f.u.): 2.9
E_tot (eV for the cell shown): -33.9
Energy of formation from the pure elements (meV per atom): -461
Crystal system: monoclinic
Distance to the lowest polymorph of the same formula (meV/atom): 0

Geometry as POSCAR:
```
ThTcGe3
1.0
-4.1065 1.4869 0.7177
-0.3828 -2.7288 3.4633
-0.3745 3.0647 5.2149
Tc Th Ge
1 1 3
Direct
0.0401 0.8435 0.6241
0.3720 0.1755 0.9611
0.8114 0.6150 0.0839
0.6423 0.9455 0.4210
0.1420 0.4457 0.4210
```

Record 5
ThTiTcGe2 after structural relaxation. Source: Alexandria via LeMat-Bulk, functional GGA-PBE.

## Properties
DOS at the Fermi energy (states/eV/f.u.): 2.9
E_tot (eV for the cell shown): -38.1
Energy of formation from the pure elements (meV per atom): -642
Crystal system: tetragonal

Geometry as POSCAR:
```
ThTiTcGe2
1.0
4.1082 0.0000 0.0000
0.0000 4.1082 0.0000
-2.0541 -2.0541 5.6995
Ge Ti Th Tc
2 1 1 1
Direct
0.3863 0.3863 0.7726
0.6137 0.6137 0.2274
0.2500 0.7500 0.5000
0.0000 0.0000 0.0000
0.7500 0.2500 0.5000
```

Record 6
Ti5TcGe5 after structural relaxation. Source: Alexandria via LeMat-Bulk, functional GGA-PBE.

## Properties
DOS at the Fermi energy (states/eV/f.u.): 9.7
E_tot (eV for the cell shown): -74.3
Energy of formation from the pure elements (meV per atom): -123
Crystal system: monoclinic

Geometry as POSCAR:
```
Ti5TcGe5
1.0
-0.8485 -3.0904 -3.9849
4.7635 3.7017 -0.6040
2.0382 -5.9601 4.1882
Ti Tc Ge
5 1 5
Direct
0.3407 0.6814 0.1768
0.6593 0.3186 0.8232
0.6724 0.3447 0.3334
0.0000 0.0000 0.5000
0.3276 0.6553 0.6666
0.0000 0.0000 0.0000
0.8307 0.6613 0.1591
0.8335 0.6670 0.6676
0.1693 0.3387 0.8409
0.5000 0.0000 0.0000
0.1665 0.3330 0.3324
```

Record 7
Ti3TcGe4 after structural relaxation. Source: Alexandria via LeMat-Bulk, functional GGA-PBE.

## Properties
DOS at the Fermi energy (states/eV/f.u.): 6.4
E_tot (eV for the cell shown): -108.1
Energy of formation from the pure elements (meV per atom): -188
Crystal system: orthorhombic

Geometry as POSCAR:
```
Ti3TcGe4
1.0
4.9510 0.0000 0.0000
0.0000 9.8333 0.0000
0.0000 0.0000 5.4986
Ge Ti Tc
8 6 2
Direct
0.0646 0.9253 0.5000
0.5646 0.0747 0.0000
0.0644 0.4281 0.7438
0.5644 0.5719 0.7562
0.5644 0.5719 0.2438
0.5643 0.0597 0.5000
0.0643 0.9403 0.0000
0.0644 0.4281 0.2562
0.5643 0.2985 0.7430
0.0643 0.7015 0.7570
0.0643 0.1916 0.5000
0.5643 0.2985 0.2570
0.5643 0.8084 0.0000
0.0643 0.7015 0.2430
0.5645 0.7941 0.5000
0.0645 0.2059 0.0000
```

Record 8
Ti3TcGe after structural relaxation. Source: Alexandria via LeMat-Bulk, functional GGA-PBE.

## Properties
DOS at the Fermi energy (states/eV/f.u.): 7.4
E_tot (eV for the cell shown): -34.8
Energy of formation from the pure elements (meV per atom): 766
Crystal system: cubic
Distance to the lowest polymorph of the same formula (meV/atom): 264

Geometry as POSCAR:
```
Ti3TcGe
1.0
4.6062 0.0000 0.0000
0.0000 4.6062 0.0000
0.0000 0.0000 4.6062
Tc Ge Ti
1 1 3
Direct
0.5000 0.5000 0.5000
0.0000 0.0000 0.0000
0.0000 0.0000 0.5000
0.0000 0.5000 0.0000
0.5000 0.0000 0.0000
```

Record 9
Ti2Tc2Ge after structural relaxation. Source: Alexandria via LeMat-Bulk, functional GGA-PBE.

## Properties
DOS at the Fermi energy (states/eV/f.u.): 6.0
E_tot (eV for the cell shown): -83.7
Energy of formation from the pure elements (meV per atom): -146
Crystal system: tetragonal

Geometry as POSCAR:
```
Ti2Tc2Ge
1.0
-0.1148 -0.0759 -6.4274
6.4271 -0.1018 -0.1136
-0.0619 -3.9635 0.0479
Tc Ti Ge
4 4 2
Direct
0.3601 0.8601 0.0000
0.1399 0.3601 0.0000
0.6399 0.1399 0.0000
0.8601 0.6399 0.0000
0.3196 0.1804 0.5000
0.6804 0.8196 0.5000
0.1804 0.6804 0.5000
0.8196 0.3196 0.5000
0.5000 0.5000 0.0000
0.0000 0.0000 0.0000
```

Record 10
TiTcGe after structural relaxation. Source: Alexandria via LeMat-Bulk, functional GGA-PBE.

## Properties
DOS at the Fermi energy (states/eV/f.u.): 2.2
E_tot (eV for the cell shown): -47.0
Energy of formation from the pure elements (meV per atom): -207
Crystal system: orthorhombic
Distance to the lowest polymorph of the same formula (meV/atom): 409

Geometry as POSCAR:
```
TiTcGe
1.0
-2.5375 -2.3861 2.1068
1.5783 0.5336 2.5053
-3.6531 6.3227 2.7612
Tc Ti Ge
2 2 2
Direct
0.2500 0.2821 0.4359
0.7500 0.7179 0.5641
0.7500 0.8843 0.2314
0.2500 0.1157 0.7686
0.7500 0.5531 0.8938
0.2500 0.4469 0.1062
```

Record 11
Ti3TcGe after structural relaxation. Source: Alexandria via LeMat-Bulk, functional GGA-PBE.

## Properties
DOS at the Fermi energy (states/eV/f.u.): 4.6
E_tot (eV for the cell shown): -36.2
Energy of formation from the pure elements (meV per atom): 503
Crystal system: cubic
Distance to the lowest polymorph of the same formula (meV/atom): 0

Geometry as POSCAR:
```
Ti3TcGe
1.0
-0.1527 0.6130 4.6414
-4.6614 -0.4517 -0.0937
0.4353 -4.6219 0.6248
Ge Tc Ti
1 1 3
Direct
0.5000 0.5000 0.5000
0.0000 0.0000 0.0000
0.0000 0.0000 0.5000
0.0000 0.5000 0.0000
0.5000 0.0000 0.0000
```

Record 12
TiTcGe after structural relaxation. Source: Alexandria via LeMat-Bulk, functional GGA-PBE.

## Properties
DOS at the Fermi energy (states/eV/f.u.): 1.2
E_tot (eV for the cell shown): -148.4
Energy of formation from the pure elements (meV per atom): -616
Crystal system: hexagonal
Distance to the lowest polymorph of the same formula (meV/atom): 0

Geometry as POSCAR:
```
TiTcGe
1.0
-5.9971 -1.6715 3.0523
2.8391 -5.2727 2.6908
3.1084 6.7432 1.9246
Ge Ti Tc
6 6 6
Direct
0.4200 0.1667 0.3334
0.0867 0.3334 0.6666
0.7533 0.2500 0.9999
0.4200 0.6666 0.3334
0.0867 0.8333 0.6666
0.7533 0.7500 0.0001
0.3518 0.2500 0.0000
0.7533 0.5493 0.5986
0.7534 0.0493 0.5985
0.1547 0.4507 0.4014
0.3518 0.7500 0.0000
0.1548 0.9507 0.4015
0.4884 0.3676 0.7351
0.4884 0.8675 0.7351
0.0182 0.5000 0.0000
0.7533 0.1325 0.2649
0.7533 0.6324 0.2649
0.0182 0.0000 0.0000
```

Among the records above, which one has the lowest energy of formation from the pure elements? ThTiTcGe2